A) First-principles (GGA-PBE) data for DyZn3Ga3 after structural relaxation, as listed in the Alexandria database.

Structure (extended XYZ):
```
14
Lattice="0.0000 5.8830 5.8830 5.8830 0.0000 5.8830 5.8830 5.8830 0.0000" Properties=species:S:1:pos:R:3 pbc="T T T"
Dy 2.9415 2.9415 2.9415
Dy 8.8245 8.8245 8.8245
Zn 5.8830 5.8830 1.7795
Zn 5.8830 1.7795 5.8830
Zn 9.9865 5.8830 5.8830
Zn 1.7795 5.8830 5.8830
Zn 5.8830 9.9865 5.8830
Zn 5.8830 5.8830 9.9865
Ga 5.8830 5.8830 4.0506
Ga 5.8830 4.0506 5.8830
Ga 7.7153 5.8830 5.8830
Ga 4.0506 5.8830 5.8830
Ga 5.8830 7.7153 5.8830
Ga 5.8830 5.8830 7.7153
```

Properties
Its volume is 29.09 Å³ per atom. Its symmetry is Fm-3m (225).


B) First-principles (GGA-PBE) data for DyZn3Ga3 after structural relaxation, as listed in the Alexandria database.

Structure (extended XYZ):
```
14
Lattice="6.8488 0.0000 0.0000 0.0000 6.8488 0.0000 0.0000 0.0000 6.8488" Properties=species:S:1:pos:R:3 pbc="T T T"
Dy 0.0000 0.0000 0.0000
Dy 3.4244 3.4244 3.4244
Zn 0.0000 1.7122 3.4244
Zn 0.0000 5.1366 3.4244
Zn 1.7122 3.4244 0.0000
Zn 3.4244 0.0000 1.7122
Zn 3.4244 0.0000 5.1366
Zn 5.1366 3.4244 0.0000
Ga 0.0000 3.4244 1.7122
Ga 0.0000 3.4244 5.1366
Ga 1.7122 0.0000 3.4244
Ga 3.4244 1.7122 0.0000
Ga 3.4244 5.1366 0.0000
Ga 5.1366 0.0000 3.4244
```

Properties
Its volume is 22.95 Å³ per atom. Its symmetry is Pm-3n (223).


Which of them is most stable, and which least? Most stable: B); least stable: A).


A) First-principles (GGA-PBE) data for Dy6ZnGa2 after structural relaxation, as listed in the Alexandria database.

Structure (extended XYZ):
```
18
Lattice="-4.7931 4.8376 5.1665 4.7931 -4.8376 5.1665 4.7931 4.8376 -5.1665" Properties=species:S:1:pos:R:3 pbc="T T T"
Dy 4.7931 -2.8373 3.3469
Dy 2.9180 0.0000 2.5437
Dy 6.6682 0.0000 2.5437
Dy 3.0958 2.6121 0.0000
Dy 6.4903 2.6121 0.0000
Dy 0.0000 2.0003 1.8196
Dy 4.7931 2.8373 3.3469
Dy -1.6973 2.2254 5.1665
Dy 1.6973 2.2254 5.1665
Dy -1.8751 4.8376 2.6228
Dy 1.8751 4.8376 2.6228
Dy 0.0000 7.6749 1.8196
Zn 4.7931 0.0000 0.0000
Zn 0.0000 4.8376 0.0000
Ga 1.4150 0.0000 0.0000
Ga 8.1712 0.0000 0.0000
Ga 0.0000 0.0000 3.8987
Ga 0.0000 0.0000 6.4343
```

Properties
Its volume is 26.62 Å³ per atom. Its symmetry is Immm (71).


B) First-principles (GGA-PBE) data for Dy6ZnGa2 after structural relaxation, as listed in the Alexandria database.

Structure (extended XYZ):
```
9
Lattice="-2.4682 3.5005 7.4363 2.4682 -3.5005 7.4363 2.4682 3.5005 -7.4363" Properties=species:S:1:pos:R:3 pbc="T T T"
Dy 2.4682 1.7381 -2.4718
Dy 0.0000 1.7350 0.0000
Dy 2.4682 1.7381 2.4718
Dy 0.0000 1.7623 4.9644
Dy 0.0000 5.2659 0.0000
Dy 0.0000 1.7623 9.9081
Zn 2.4682 0.0000 0.0000
Ga 2.4682 0.0000 4.9535
Ga 0.0000 3.5005 2.4828
```

Properties
Its volume is 28.56 Å³ per atom. Its symmetry is Immm (71).


Which of them is most stable, and which least? Most stable: A); least stable: B).


A) First-principles (GGA-PBE) data for Dy2ZrGa after structural relaxation, as listed in the Alexandria database.

Structure (extended XYZ):
```
4
Lattice="1.6560 0.9561 11.0685 -1.6560 0.9561 11.0685 0.0000 -1.9122 11.0685" Properties=species:S:1:pos:R:3 pbc="T T T"
Dy 0.0000 0.0000 3.2240
Dy 0.0000 0.0000 29.9816
Zr 0.0000 0.0000 0.0000
Ga 0.0000 0.0000 16.6028
```

Properties
Its volume is 26.29 Å³ per atom. Its symmetry is R-3m (166).


B) First-principles (GGA-PBE) data for Dy2ZrGa after structural relaxation, as listed in the Alexandria database.

Structure (extended XYZ):
```
4
Lattice="4.5671 0.0000 0.0000 0.0000 4.5671 0.0000 0.0000 0.0000 4.5928" Properties=species:S:1:pos:R:3 pbc="T T T"
Dy 0.0000 2.2836 0.0000
Dy 2.2836 0.0000 0.0000
Zr 0.0000 0.0000 2.2964
Ga 2.2836 2.2836 2.2964
```

Properties
Its volume is 23.95 Å³ per atom. Its symmetry is P4/mmm (123).


C) First-principles (GGA-PBE) data for Dy2ZrGa after structural relaxation, as listed in the Alexandria database.

Structure (extended XYZ):
```
4
Lattice="3.4366 0.0000 0.0000 0.0000 3.4366 0.0000 0.0000 0.0000 8.5039" Properties=species:S:1:pos:R:3 pbc="T T T"
Dy 0.0000 0.0000 1.9257
Dy 0.0000 0.0000 6.5782
Zr 1.7183 1.7183 4.2520
Ga 1.7183 1.7183 0.0000
```

Properties
Its volume is 25.11 Å³ per atom. Its symmetry is P4/mmm (123).


Which of them is most stable, and which least? Most stable: C); least stable: A).


A) First-principles (GGA-PBE) data for DyZrGa2 after structural relaxation, as listed in the Alexandria database.

Structure (extended XYZ):
```
4
Lattice="0.0000 3.4658 3.4658 3.4658 0.0000 3.4658 3.4658 3.4658 0.0000" Properties=species:S:1:pos:R:3 pbc="T T T"
Dy 0.0000 0.0000 0.0000
Zr 3.4658 3.4658 3.4658
Ga 1.7329 1.7329 1.7329
Ga 5.1987 5.1987 5.1987
```

Properties
Its volume is 20.81 Å³ per atom. Its symmetry is Fm-3m (225).


B) First-principles (GGA-PBE) data for DyZrGa2 after structural relaxation, as listed in the Alexandria database.

Structure (extended XYZ):
```
8
Lattice="3.9303 0.0000 0.0000 0.0000 5.6836 0.0000 0.0000 0.0000 7.7240" Properties=species:S:1:pos:R:3 pbc="T T T"
Dy 0.0000 0.7256 0.0000
Dy 0.0000 4.9580 3.8620
Zr 1.9652 2.1138 4.9586
Zr 1.9652 3.5698 1.0966
Ga 0.0000 2.2576 2.8000
Ga 0.0000 3.4261 6.6620
Ga 1.9652 0.6987 2.1893
Ga 1.9652 4.9849 6.0513
```

Properties
Its volume is 21.57 Å³ per atom. Its symmetry is Pmc2_1 (26).


C) First-principles (GGA-PBE) data for DyZrGa2 after structural relaxation, as listed in the Alexandria database.

Structure (extended XYZ):
```
4
Lattice="1.7728 1.0235 8.2835 -1.7728 1.0235 8.2835 0.0000 -2.0470 8.2835" Properties=species:S:1:pos:R:3 pbc="T T T"
Dy 0.0000 0.0000 0.0000
Zr 0.0000 0.0000 12.4252
Ga 0.0000 0.0000 6.1131
Ga 0.0000 0.0000 18.7373
```

Properties
Its volume is 22.55 Å³ per atom. Its symmetry is R-3m (166).


Which of them is most stable, and which least? Most stable: B); least stable: C).